(1)
{
  "formula": "TaCuRe",
  "functional": "PBE-GGA",
  "state": "optimized geometry",
  "lattice": [[-2.169, 4.143, 1.304], [-2.088, 0.293, 4.373], [4.028, -0.665, -2.627]],
  "species": ["Cu", "Re", "Ta"],
  "fractional_positions": [[0.997, 0.997, 0.000], [0.337, 0.337, 0.000], [0.666, 0.666, 0.000]],
  "sg": "Imm2",
  "e_form_ev_per_atom": 0.119
}

=====

(2)
{
  "formula": "LaCoPt2",
  "functional": "PBE-GGA",
  "state": "optimized geometry",
  "lattice": [[4.348, 0.002, 0.010], [2.174, 3.766, 0.010], [2.152, 1.243, 5.002]],
  "species": ["Co", "La", "Pt", "Pt"],
  "fractional_positions": [[0.750, 0.750, 0.750], [0.250, 0.250, 0.250], [0.455, 0.455, 0.635], [0.045, 0.045, 0.865]],
  "sg": "C2/m",
  "e_form_ev_per_atom": -0.618
}

=====

(3)
{
  "formula": "Sm5MgSc4",
  "functional": "PBE-GGA",
  "state": "optimized geometry",
  "lattice": [[-3.444, 0.998, 0.115], [-0.979, -3.427, 0.411], [1.401, 2.265, 22.240]],
  "species": ["Sm", "Sm", "Sm", "Sm", "Sm", "Sc", "Sc", "Sc", "Sc", "Mg"],
  "fractional_positions": [[0.500, 0.500, 0.700], [0.500, 0.500, 0.500], [0.500, 0.500, 0.901], [0.500, 0.500, 0.300], [0.500, 0.500, 0.099], [0.000, 0.000, 0.801], [0.000, 0.000, 0.199], [0.000, 0.000, 0.400], [0.000, 0.000, 0.600], [0.000, 0.000, 0.000]],
  "sg": "P4/mmm",
  "e_form_ev_per_atom": 0.027
}

=====

(4)
{
  "formula": "KSc2Ag",
  "functional": "PBE-GGA",
  "state": "optimized geometry",
  "lattice": [[-3.402, -0.239, -0.246], [-0.148, -1.192, 3.207], [-1.068, 8.315, 6.699]],
  "species": ["Sc", "Sc", "Ag", "K"],
  "fractional_positions": [[0.000, 0.914, 0.087], [0.000, 0.586, 0.413], [0.500, 0.250, 0.250], [0.500, 0.750, 0.750]],
  "sg": "P4/mmm",
  "e_form_ev_per_atom": 0.222
}

=====

(5)
{
  "formula": "Pa2Co6Ge",
  "functional": "PBE-GGA",
  "state": "optimized geometry",
  "lattice": [[-2.077, -1.558, -5.019], [4.102, -2.996, -0.772], [-0.069, -4.900, 1.546]],
  "species": ["Co", "Co", "Co", "Co", "Co", "Co", "Ge", "Pa", "Pa"],
  "fractional_positions": [[0.323, 0.828, 0.344], [0.677, 0.656, 0.172], [0.677, 0.172, 0.656], [0.324, 0.828, 0.828], [0.676, 0.172, 0.172], [0.323, 0.344, 0.828], [0.000, 0.000, 0.000], [0.791, 0.667, 0.667], [0.209, 0.333, 0.333]],
  "sg": "P-3m1",
  "e_form_ev_per_atom": -0.345
}

=====

(6)
{
  "formula": "Pu2MgZn",
  "functional": "PBE-GGA",
  "state": "optimized geometry",
  "lattice": [[-0.080, 0.612, 2.915], [-0.685, -2.143, 1.954], [10.943, -3.281, 2.511]],
  "species": ["Mg", "Pu", "Pu", "Zn"],
  "fractional_positions": [[0.000, 0.000, 0.000], [0.092, 0.092, 0.723], [0.908, 0.908, 0.277], [0.500, 0.500, 0.500]],
  "sg": "R-3m",
  "e_form_ev_per_atom": 0.296
}

=====

It is found that the DOS at the Fermi energy values, taken in the order of the records, are 2.4; 5.4; 14.4; 4.6; 12.4; 12.6 states/eV per cell.